First-principles (SCAN) data for MnAl2Cl at its PBEsol-relaxed geometry, as listed in Alexandria.

```
4
Lattice="-1.8887 -3.1771 1.9838 2.0823 0.9561 3.5137 -3.0401 3.5371 -1.6647" Properties=species:S:1:pos:R:3 pbc="T T T"
Al -2.4160 -0.3753 1.5339
Cl 0.0968 -1.1105 2.7488
Mn -0.4305 1.6913 2.2989
Al 0.0000 0.0000 0.0000
```

Space group = I-4m2, No. 119
Calculated total energy = -10.200 eV per atom
Formation energy from raw total energies = 0.234 eV/atom
Magnetization = 4.33 μB per formula unit
ΔE to the lowest computed polymorph = 327.9 meV per atom

=====

First-principles (SCAN) data for MnAl4Cl at its PBEsol-relaxed geometry, as listed in Alexandria.

```
6
Lattice="-0.3052 0.6961 -5.2614 -0.7017 -4.1875 -3.1989 -4.6380 -0.6823 -2.5068" Properties=species:S:1:pos:R:3 pbc="T T T"
Mn 0.0000 0.0000 0.0000
Al -2.1108 -1.5607 -4.1009
Al -4.4496 -1.9047 -5.3651
Cl -4.2337 -3.1303 -8.2253
Al -2.4646 -3.6723 -5.7141
Al -2.2647 -1.2097 -6.7542
```

Space group = F-43m, No. 216
Calculated total energy = -9.383 eV per atom
Formation energy from raw total energies = 0.157 eV/atom
Magnetization = 3.58 μB per formula unit

=====

First-principles (SCAN) data for Mn2AlCl at its PBEsol-relaxed geometry, as listed in Alexandria.

```
4
Lattice="-0.1597 -2.1834 1.8328 0.8321 -1.7914 -2.0616 6.7669 1.0396 1.8280" Properties=species:S:1:pos:R:3 pbc="T T T"
Cl 3.7197 -1.4676 0.7996
Al 0.3362 -1.9874 -0.1144
Mn 1.6375 0.2516 0.4423
Mn 5.1294 0.7880 1.3856
```

Space group = P4/mmm, No. 123
Calculated total energy = -13.322 eV per atom
Formation energy from raw total energies = -0.262 eV/atom
Magnetization = 7.27 μB per formula unit

=====

First-principles (SCAN) data for MnAl2Cl at its PBEsol-relaxed geometry, as listed in Alexandria.

```
4
Lattice="2.8281 0.0000 0.0000 0.0000 4.6375 0.3553 -1.4141 -1.6335 4.4902" Properties=species:S:1:pos:R:3 pbc="T T T"
Al 1.4141 0.4643 2.3663
Al 1.4141 2.7369 4.4353
Cl 1.4141 2.1034 0.6914
Mn 0.0000 3.0221 2.3755
```

Space group = Cm, No. 8
Calculated total energy = -10.501 eV per atom
Formation energy from raw total energies = -0.066 eV/atom
Magnetization = 2.12 μB per formula unit
ΔE to the lowest computed polymorph = 27.7 meV per atom

=====

First-principles (SCAN) data for MnAlS2Cl at its PBEsol-relaxed geometry, as listed in Alexandria.

```
5
Lattice="-1.2226 2.6391 3.4984 0.4549 -3.5359 2.8264 4.3844 1.1160 0.6904" Properties=species:S:1:pos:R:3 pbc="T T T"
Al 1.8083 0.1096 3.5076
Cl 2.1922 0.5580 0.3452
Mn 0.0000 0.0000 0.0000
S -0.6113 1.3196 1.7492
S 0.2275 -1.7680 1.4132
```

Space group = P4/mmm, No. 123
Calculated total energy = -10.915 eV per atom
Formation energy from raw total energies = -0.267 eV/atom
Magnetization = 3.51 μB per formula unit

=====

First-principles (SCAN) data for AlMoCl2 at its PBEsol-relaxed geometry, as listed in Alexandria.

```
4
Lattice="3.1257 -0.0041 0.0000 -0.2678 5.0009 0.0000 -1.4290 -2.4984 4.3100" Properties=species:S:1:pos:R:3 pbc="T T T"
Cl 0.7145 1.2492 2.1550
Mo 1.4290 2.4984 0.0000
Cl -0.7145 -1.2492 2.1550
Al 0.0000 0.0000 0.0000
```

Space group = C2/m, No. 12
Calculated total energy = -14.481 eV per atom
Formation energy from raw total energies = 0.168 eV/atom
Magnetization = 2.19 μB per formula unit
ΔE to the lowest computed polymorph = 411.1 meV per atom

=====

| no. | density of states at the Fermi level (states/eV per atom) |
| --- | --- |
| 1 | 0.2980 |
| 2 | 0.3962 |
| 3 | 0.6993 |
| 4 | 0.3368 |
| 5 | 0.4467 |
| 6 | 0.5575 |